Tm8Cu2Te | Alexandria | PBE-GGA | optimized geometry; E_form (uncorrected) = -175 meV/atom; uncorrected energy = -49.04 eV for the cell shown; calculated volume = 26.82 Å³ per atom; symmetry = C2/m, No. 12; D(E_F) = 15.914 states/eV/cell
1.0
4.2669 -6.5253 0.0000
4.2669 6.5253 0.0000
-1.4191 0.0000 5.2975
Tm Cu Te
8 2 1
Cartesian
0.9358 1.6619 3.1942
4.2669 3.3334 0.0000
0.9358 -1.6619 3.1942
3.1096 0.0000 1.0686
4.0051 0.0000 4.2289
6.1789 1.6619 2.1033
4.2669 -3.3334 0.0000
6.1789 -1.6619 2.1033
3.5573 2.5694 2.6488
3.5573 -2.5694 2.6488
0.0000 0.0000 0.0000


Tm7Cu2Te2 | Alexandria | PBE-GGA | optimized geometry; E_form (uncorrected) = -569 meV/atom; uncorrected energy = -52.04 eV for the cell shown; calculated volume = 25.92 Å³ per atom; symmetry = Imm2, No. 44; D(E_F) = 10.884 states/eV/cell
1.0
-1.9609 7.6370 4.7604
1.9609 -7.6370 4.7604
1.9609 7.6370 -4.7604
Tm Cu Te
7 2 2
Cartesian
0.0000 0.0000 0.0000
1.9609 2.8324 -1.1349
1.9609 -2.1878 2.2548
1.9609 2.1878 2.2548
1.9609 5.6338 0.8212
0.0000 4.8047 3.6255
0.0000 2.0032 5.5816
0.0000 3.6004 0.7215
0.0000 11.6737 0.7215
0.0000 0.0000 3.2450
0.0000 7.6370 2.2478


Tm2CuTe | Alexandria | PBE-GGA | optimized geometry; E_form (uncorrected) = -664 meV/atom; uncorrected energy = -18.83 eV for the cell shown; calculated volume = 25.55 Å³ per atom; symmetry = R-3m, No. 166; distance to the lowest polymorph of the same formula = 75 meV/atom; D(E_F) = 3.453 states/eV/cell
1.0
2.0140 1.1628 7.2730
-2.0140 1.1628 7.2730
0.0000 -2.3255 7.2730
Tm Cu Te
2 1 1
Cartesian
0.0000 0.0000 5.2311
0.0000 0.0000 16.5878
0.0000 0.0000 10.9094
0.0000 0.0000 0.0000


Tm8CuTe2 | Alexandria | PBE-GGA | optimized geometry; E_form (uncorrected) = -269 meV/atom; uncorrected energy = -49.11 eV for the cell shown; calculated volume = 29.29 Å³ per atom; symmetry = C2/m, No. 12; D(E_F) = 9.696 states/eV/cell
1.0
5.7878 -3.9752 0.0000
5.7878 3.9752 0.0000
-3.1922 0.0000 7.0013
Tm Cu Te
8 1 2
Cartesian
-0.0395 0.0000 1.7195
2.7629 2.0945 2.4571
5.6205 2.0945 4.5442
2.5153 0.0000 5.3728
5.8682 0.0000 1.6285
2.7629 -2.0945 2.4571
5.6205 -2.0945 4.5442
8.4230 0.0000 5.2818
4.1917 0.0000 3.5007
2.8542 0.0000 0.0636
5.5293 0.0000 6.9377